First-principles (GGA-PBE) data for Co3Ni3Pd after structural relaxation, as listed in Alexandria via LeMat-Bulk.

abc: 6.1279 6.1279 6.3687
angles: 61.24 61.24 60.00
Fractional coordinates of all 14 atoms:
Co: 0.7214 0.1712 0.1843
Co: 0.2786 0.8288 0.8157
Co: 0.9231 0.7214 0.1843
Pd: 0.6518 0.6518 0.0446
Ni: 0.5747 0.0640 0.6294
Ni: 0.0640 0.7319 0.6294
Ni: 0.2681 0.4253 0.3706
Ni: 0.9360 0.2681 0.3706
Co: 0.0769 0.2786 0.8157
Co: 0.8288 0.0769 0.8157
Ni: 0.4253 0.9360 0.3706
Co: 0.1712 0.9231 0.1843
Ni: 0.7319 0.5747 0.6294
Pd: 0.3482 0.3482 0.9554

DOS(E_F), states/eV/cell: 14.8
Symmetry: R-3, No. 148
Energy, eV/atom: -6.068


First-principles (GGA-PBE) data for AlTlCdS2 after structural relaxation, as listed in Alexandria via LeMat-Bulk.

abc: 4.6110 5.9318 4.6110
angles: 90.00 90.00 90.00
Fractional coordinates of all 5 atoms:
Cd: 0.5000 0.5000 0.5000
S: 0.0000 0.0000 0.5000
S: 0.5000 0.0000 0.0000
Al: 0.0000 0.0000 0.0000
Tl: 0.0000 0.5000 0.0000

DOS(E_F), states/eV/cell: 1.4
Symmetry: P4/mmm, No. 123
Energy relative to the elements, uncorrected, eV/atom: -0.0392


First-principles (GGA-PBE) data for TlCo2Cl after structural relaxation, as listed in Alexandria via LeMat-Bulk.

abc: 5.9981 5.9981 5.9981
angles: 144.50 144.50 51.08
Fractional coordinates of all 4 atoms:
Tl: 0.5000 0.5000 0.0000
Co: 0.0000 0.0000 0.0000
Co: 0.2500 0.7500 0.5000
Cl: 0.7500 0.2500 0.5000

DOS(E_F), states/eV/cell: 5.1
Symmetry: I-4m2, No. 119
ΔE to the lowest computed polymorph, kJ per mole of atoms: 43.7
Energy relative to the elements, uncorrected, eV/atom: 0.6892


First-principles (GGA-PBE) data for ZnSiPd2 after structural relaxation, as listed in Alexandria via LeMat-Bulk.

abc: 3.9652 3.9652 5.2019
angles: 67.60 67.60 60.00
Fractional coordinates of all 4 atoms:
Si: 0.6737 0.6737 0.9788
Pd: 0.2704 0.2704 0.1888
Pd: 0.0637 0.0637 0.8088
Zn: 0.4921 0.4921 0.5236

DOS(E_F), states/eV/cell: 0.7
Symmetry: R3m, No. 160
Energy relative to the elements, uncorrected, eV/atom: -0.4265


First-principles (GGA-PBE) data for ZrGa2HSe after structural relaxation, as listed in Alexandria via LeMat-Bulk.

abc: 5.4080 3.8032 5.4080
angles: 90.00 90.00 90.00
Fractional coordinates of all 5 atoms:
Ga: 0.0000 0.0000 0.5000
Zr: 0.0000 0.0000 0.0000
Ga: 0.5000 0.0000 0.0000
H: 0.0000 0.5000 0.0000
Se: 0.5000 0.5000 0.5000

DOS(E_F), states/eV/cell: 3.9
Symmetry: P4/mmm, No. 123
Energy, eV/atom: -3.971


First-principles (GGA-PBE) data for Pm4NdSm after structural relaxation, as listed in Alexandria via LeMat-Bulk.

abc: 6.7062 6.7062 6.7062
angles: 60.00 60.00 60.00
Fractional coordinates of all 6 atoms:
Pm: 0.6248 0.1256 0.6248
Pm: 0.6248 0.6248 0.6248
Pm: 0.6248 0.6248 0.1256
Nd: 0.0000 0.0000 0.0000
Sm: 0.2500 0.2500 0.2500
Pm: 0.1256 0.6248 0.6248

DOS(E_F), states/eV/cell: 10.9
Symmetry: F-43m, No. 216
ΔE to the lowest computed polymorph, kJ per mole of atoms: 23.5


First-principles (GGA-PBE) data for La2Pr6HoMg after structural relaxation, as listed in Alexandria via LeMat-Bulk.

abc: 10.1296 8.8160 8.8160
angles: 115.63 96.20 96.20
Fractional coordinates of all 20 atoms:
Pr: 0.3859 0.4954 0.3031
Pr: 0.8859 0.3031 0.4954
Pr: 0.6913 0.0036 0.5789
Pr: 0.1913 0.5789 0.0036
Ho: 0.7500 0.0093 0.9907
Pr: 0.5506 0.7442 0.1214
Pr: 0.4494 0.2558 0.8786
La: 0.4470 0.7988 0.7129
Pr: 0.0506 0.1214 0.7442
Pr: 0.8087 0.4211 0.9964
Pr: 0.1141 0.6969 0.5046
La: 0.5530 0.2012 0.2871
Pr: 0.9494 0.8786 0.2558
La: 0.0530 0.2871 0.2012
Pr: 0.6141 0.5046 0.6969
Ho: 0.2500 0.9907 0.0093
Mg: 0.7500 0.5991 0.4009
Mg: 0.2500 0.4009 0.5991
Pr: 0.3087 0.9964 0.4211
La: 0.9470 0.7129 0.7988

DOS(E_F), states/eV/cell: 29.2
Symmetry: C2/c, No. 15
Energy, eV/atom: -4.375


First-principles (GGA-PBE) data for TbTh2Ru after structural relaxation, as listed in Alexandria via LeMat-Bulk.

abc: 3.8218 3.8218 10.4585
angles: 79.47 79.47 60.00
Fractional coordinates of all 4 atoms:
Th: 0.1114 0.1114 0.6659
Ru: 0.5000 0.5000 0.5000
Tb: 0.0000 0.0000 0.0000
Th: 0.8886 0.8886 0.3341

DOS(E_F), states/eV/cell: 5.6
Symmetry: R-3m, No. 166
ΔE to the lowest computed polymorph, kJ per mole of atoms: 36.4


First-principles (GGA-PBE) data for ErTlO after structural relaxation, as listed in Alexandria via LeMat-Bulk.

abc: 3.7007 3.7007 6.0031
angles: 90.00 90.00 120.00
Fractional coordinates of all 3 atoms:
Er: 0.6667 0.3333 0.5000
Tl: 0.0000 0.0000 0.0000
O: 0.3333 0.6667 0.5000

DOS(E_F), states/eV/cell: 1.8
Symmetry: P-6m2, No. 187
ΔE to the lowest computed polymorph, kJ per mole of atoms: 1.8
Energy relative to the elements, uncorrected, eV/atom: -1.7982


First-principles (GGA-PBE) data for CrIn2FeH after structural relaxation, as listed in Alexandria via LeMat-Bulk.

abc: 4.9991 4.1627 4.9991
angles: 90.00 90.00 90.00
Fractional coordinates of all 5 atoms:
H: 0.5000 0.5000 0.5000
In: 0.5000 0.0000 0.0000
Cr: 0.0000 0.5000 0.0000
In: 0.0000 0.0000 0.5000
Fe: 0.0000 0.0000 0.0000

DOS(E_F), states/eV/cell: 2.8
Symmetry: P4/mmm, No. 123
Energy, eV/atom: -4.545


First-principles (GGA-PBE) data for K2ICl after structural relaxation, as listed in Alexandria via LeMat-Bulk.

abc: 8.4949 8.4949 7.8274
angles: 57.14 57.14 90.00
Fractional coordinates of all 8 atoms:
K: 0.1648 0.6250 0.2500
I: 0.7500 0.2500 0.5000
K: 0.8750 0.8352 0.7500
Cl: 0.5000 0.5000 0.0000
I: 0.0000 0.0000 0.0000
Cl: 0.2500 0.7500 0.5000
K: 0.5852 0.1250 0.2500
K: 0.3750 0.4148 0.7500

DOS(E_F), states/eV/cell: 0.0
Symmetry: I-42d, No. 122
Energy relative to the elements, uncorrected, eV/atom: -1.6365


First-principles (GGA-PBE) data for Ba3Cd6Bi5 after structural relaxation, as listed in Alexandria via LeMat-Bulk.

abc: 5.2577 11.3343 15.4600
angles: 90.00 90.00 90.00
Fractional coordinates of all 28 atoms:
Cd: 0.5000 0.5687 0.0000
Bi: 0.0000 0.5157 0.8797
Cd: 0.0000 0.9830 0.8456
Cd: 0.5000 0.0170 0.3456
Bi: 0.0000 0.8621 0.3373
Ba: 0.0000 0.2377 0.0000
Cd: 0.0000 0.5906 0.3159
Bi: 0.0000 0.8062 0.0000
Cd: 0.0000 0.0323 0.5000
Bi: 0.5000 0.1938 0.5000
Bi: 0.0000 0.5157 0.1203
Bi: 0.5000 0.1379 0.8373
Cd: 0.5000 0.4094 0.8159
Bi: 0.0000 0.8621 0.6627
Ba: 0.5000 0.7479 0.8147
Cd: 0.0000 0.9830 0.1544
Cd: 0.0000 0.4313 0.5000
Bi: 0.5000 0.4843 0.3797
Ba: 0.5000 0.7623 0.5000
Cd: 0.5000 0.0170 0.6544
Cd: 0.0000 0.5906 0.6841
Cd: 0.5000 0.4094 0.1841
Cd: 0.5000 0.9677 0.0000
Bi: 0.5000 0.1379 0.1627
Bi: 0.5000 0.4843 0.6203
Ba: 0.5000 0.7479 0.1853
Ba: 0.0000 0.2521 0.6853
Ba: 0.0000 0.2521 0.3147

DOS(E_F), states/eV/cell: 7.6
Symmetry: Pmmn, No. 59
Energy, eV/atom: -2.593


First-principles (GGA-PBE) data for Na6LiTl2 after structural relaxation, as listed in Alexandria via LeMat-Bulk.

abc: 5.5568 5.5568 10.9601
angles: 75.32 75.32 60.00
Fractional coordinates of all 9 atoms:
Na: 0.3006 0.3006 0.0981
Na: 0.6994 0.6994 0.9019
Li: 0.0000 0.0000 0.0000
Na: 0.5768 0.5768 0.2695
Na: 0.1919 0.1919 0.4244
Tl: 0.9117 0.9117 0.2649
Na: 0.8081 0.8081 0.5756
Tl: 0.0883 0.0883 0.7351
Na: 0.4232 0.4232 0.7305

DOS(E_F), states/eV/cell: 6.1
Symmetry: R-3m, No. 166
ΔE to the lowest computed polymorph, kJ per mole of atoms: 2.5


First-principles (GGA-PBE) data for NiAg3Ru after structural relaxation, as listed in Alexandria via LeMat-Bulk.

abc: 5.0245 5.0245 5.0245
angles: 90.00 90.00 90.00
Fractional coordinates of all 5 atoms:
Ag: 0.5000 0.0000 0.0000
Ni: 0.5000 0.5000 0.5000
Ag: 0.0000 0.5000 0.0000
Ru: 0.0000 0.0000 0.0000
Ag: 0.0000 0.0000 0.5000

DOS(E_F), states/eV/cell: 8.9
Symmetry: Pm-3m, No. 221
ΔE to the lowest computed polymorph, kJ per mole of atoms: 35.6


First-principles (GGA-PBE) data for InTcSeN2 after structural relaxation, as listed in Alexandria via LeMat-Bulk.

abc: 3.9211 3.9211 5.7015
angles: 90.00 90.00 90.00
Fractional coordinates of all 5 atoms:
N: 0.0000 0.5000 0.0000
In: 0.5000 0.5000 0.5000
Se: 0.0000 0.0000 0.5000
Tc: 0.0000 0.0000 0.0000
N: 0.5000 0.0000 0.0000

DOS(E_F), states/eV/cell: 2.8
Symmetry: P4/mmm, No. 123
ΔE to the lowest computed polymorph, kJ per mole of atoms: 0.0
Energy relative to the elements, uncorrected, eV/atom: 0.4269


First-principles (GGA-PBE) data for Rb2HgRuPt after structural relaxation, as listed in Alexandria via LeMat-Bulk.

abc: 6.4432 5.2150 6.4432
angles: 90.00 90.00 90.00
Fractional coordinates of all 5 atoms:
Rb: 0.5000 0.0000 0.0000
Rb: 0.0000 0.0000 0.5000
Hg: 0.0000 0.5000 0.0000
Pt: 0.0000 0.0000 0.0000
Ru: 0.5000 0.5000 0.5000

DOS(E_F), states/eV/cell: 13.2
Symmetry: P4/mmm, No. 123
Energy, eV/atom: -2.502


First-principles (GGA-PBE) data for Ac5HgRh2 after structural relaxation, as listed in Alexandria via LeMat-Bulk.

abc: 8.4158 8.4158 9.4709
angles: 116.38 116.38 90.00
Fractional coordinates of all 16 atoms:
Hg: 0.7500 0.7500 0.5000
Rh: 0.3617 0.8617 0.0000
Ac: 0.9714 0.4714 0.2665
Ac: 0.7049 0.2049 0.7335
Ac: 0.2951 0.7951 0.2665
Rh: 0.6383 0.1383 0.0000
Ac: 0.7951 0.9714 0.2665
Ac: 0.5000 0.5000 0.0000
Ac: 0.0286 0.5286 0.7335
Ac: 0.4714 0.2951 0.2665
Ac: 0.0000 0.0000 0.0000
Ac: 0.2049 0.0286 0.7335
Hg: 0.2500 0.2500 0.5000
Rh: 0.1383 0.3617 0.0000
Rh: 0.8617 0.6383 0.0000
Ac: 0.5286 0.7049 0.7335

DOS(E_F), states/eV/cell: 18.8
Symmetry: I4/mcm, No. 140
Energy, eV/atom: -4.951


First-principles (GGA-PBE) data for Li2SbP2 after structural relaxation, as listed in Alexandria via LeMat-Bulk.

abc: 7.6552 7.6552 2.8877
angles: 90.00 90.00 90.00
Fractional coordinates of all 10 atoms:
P: 0.6846 0.8154 0.5000
Sb: 0.5000 0.5000 0.0000
Li: 0.8832 0.6168 0.0000
Li: 0.6168 0.1168 0.0000
P: 0.8154 0.3154 0.5000
Sb: 0.0000 0.0000 0.0000
P: 0.1846 0.6846 0.5000
Li: 0.3832 0.8832 0.0000
P: 0.3154 0.1846 0.5000
Li: 0.1168 0.3832 0.0000

DOS(E_F), states/eV/cell: 5.0
Symmetry: P4/mbm, No. 127
ΔE to the lowest computed polymorph, kJ per mole of atoms: 21.9
Energy relative to the elements, uncorrected, eV/atom: -0.0482


First-principles (GGA-PBE) data for As2Ir after structural relaxation, as listed in Alexandria via LeMat-Bulk.

abc: 2.9524 2.9524 7.6955
angles: 90.00 90.00 120.00
Fractional coordinates of all 3 atoms:
Ir: 0.0000 0.0000 0.0000
As: 0.3333 0.6667 0.2596
As: 0.6667 0.3333 0.7404

DOS(E_F), states/eV/cell: 1.4
Symmetry: P-3m1, No. 164
Energy, eV/atom: -5.936


First-principles (GGA-PBE) data for GdDy2Sn after structural relaxation, as listed in Alexandria via LeMat-Bulk.

abc: 4.1328 4.1328 6.7771
angles: 90.00 90.00 90.00
Fractional coordinates of all 4 atoms:
Dy: 0.0000 0.0000 0.7711
Dy: 0.0000 0.0000 0.2289
Sn: 0.5000 0.5000 0.0000
Gd: 0.5000 0.5000 0.5000

DOS(E_F), states/eV/cell: 4.8
Symmetry: P4/mmm, No. 123
ΔE to the lowest computed polymorph, kJ per mole of atoms: 10.8


First-principles (GGA-PBE) data for CePuCu2Ge2 after structural relaxation, as listed in Alexandria via LeMat-Bulk.

abc: 4.2829 4.2829 7.5640
angles: 90.00 90.00 120.00
Fractional coordinates of all 6 atoms:
Cu: 0.6667 0.3333 0.2426
Ge: 0.6667 0.3333 0.7486
Cu: 0.3333 0.6667 0.7574
Pu: 0.0000 0.0000 0.0000
Ge: 0.3333 0.6667 0.2514
Ce: 0.0000 0.0000 0.5000

DOS(E_F), states/eV/cell: 14.5
Symmetry: P-3m1, No. 164
Energy, eV/atom: -6.744


First-principles (GGA-PBE) data for TeBrCl after structural relaxation, as listed in Alexandria via LeMat-Bulk.

abc: 3.4812 3.4812 7.8244
angles: 90.00 90.00 120.00
Fractional coordinates of all 3 atoms:
Cl: 0.3333 0.6667 0.3832
Te: 0.6667 0.3333 0.6612
Br: 0.0000 0.0000 0.9556

DOS(E_F), states/eV/cell: 1.8
Symmetry: P3m1, No. 156
ΔE to the lowest computed polymorph, kJ per mole of atoms: 48.2
Energy relative to the elements, uncorrected, eV/atom: 0.1303


First-principles (GGA-PBE) data for AlFePb2 after structural relaxation, as listed in Alexandria via LeMat-Bulk.

abc: 5.3229 5.3229 5.3229
angles: 128.19 128.19 76.32
Fractional coordinates of all 4 atoms:
Fe: 0.7500 0.2500 0.5000
Al: 0.2500 0.7500 0.5000
Pb: 0.0000 0.0000 0.0000
Pb: 0.5000 0.5000 0.0000

DOS(E_F), states/eV/cell: 4.2
Symmetry: I4/mmm, No. 139
Energy, eV/atom: -4.344


First-principles (GGA-PBE) data for AcSmAu4 after structural relaxation, as listed in Alexandria via LeMat-Bulk.

abc: 3.7628 4.9227 8.0865
angles: 90.01 90.00 90.00
Fractional coordinates of all 6 atoms:
Ac: 0.9986 0.9973 0.4981
Au: 0.4986 0.4973 0.3226
Au: 0.4986 0.9972 0.1651
Au: 0.4986 0.4973 0.6736
Au: 0.4985 0.9974 0.8312
Sm: 0.9986 0.4973 0.9981

DOS(E_F), states/eV/cell: 3.9
Symmetry: Pmmm, No. 47
ΔE to the lowest computed polymorph, kJ per mole of atoms: 0.0


First-principles (GGA-PBE) data for BaSrSn2Bi after structural relaxation, as listed in Alexandria via LeMat-Bulk.

abc: 4.7852 5.0052 8.5649
angles: 106.99 106.22 90.00
Fractional coordinates of all 5 atoms:
Bi: 0.8559 0.8559 0.7118
Sn: 0.6570 0.1570 0.3140
Sn: 0.0448 0.0448 0.0897
Sr: 0.2027 0.7027 0.4054
Ba: 0.4517 0.4517 0.9035

DOS(E_F), states/eV/cell: 1.8
Symmetry: Imm2, No. 44
Energy, eV/atom: -3.707